[1]
A relaxed structure of Hf2TcBrCl, computed with PBE.

The structure in POSCAR format:
```
Hf2TcBrCl
1.0
5.0321 0.0000 0.0000
0.0000 5.0321 0.0000
0.0000 0.0000 4.5182
Hf Tc Br Cl
2 1 1 1
Direct
0.0000 0.5000 0.0000 Hf
0.5000 0.0000 0.0000 Hf
0.0000 0.0000 0.5000 Tc
0.0000 0.0000 0.0000 Br
0.5000 0.5000 0.5000 Cl
```

Values from the calculation:
The formation energy (no corrections) comes out at 1.117 eV/atom. The calculation puts the magnetic moment at 0.0 μB per formula unit. For the calculated volume, the calculation gives 22.9 Å³ per atom.

[2]
A relaxed structure of HfAgTe, computed with PBE.

The structure in POSCAR format:
```
HfAgTe
1.0
3.7310 0.0000 0.0000
-1.8655 3.2312 0.0000
0.0000 0.0000 12.1750
Hf Ag Te
2 2 2
Direct
0.0000 0.0000 0.0000 Hf
0.3333 0.6667 0.5000 Hf
0.3333 0.6667 0.1590 Ag
0.3333 0.6667 0.8410 Ag
0.0000 0.0000 0.3433 Te
0.0000 0.0000 0.6567 Te
```

Values from the calculation:
The formation energy (no corrections) comes out at -0.094 eV/atom. The calculation puts the magnetic moment at 0.2 μB per formula unit. For the calculated volume, the calculation gives 24.5 Å³ per atom.

[3]
A relaxed structure of Pm3Ho5Ru2, computed with PBE.

The structure in POSCAR format:
```
Pm3Ho5Ru2
1.0
-6.0541 7.1155 3.3886
6.0541 -7.1155 3.3886
6.0541 7.1155 -3.3886
Pm Ho Ru
6 10 4
Direct
0.1786 0.2384 0.4170 Pm
0.2500 0.2500 0.0000 Pm
0.3214 0.7384 0.0598 Pm
0.6786 0.2616 0.9402 Pm
0.7500 0.7500 0.0000 Pm
0.8214 0.7616 0.5830 Pm
0.0255 0.7500 0.2755 Ho
0.0656 0.7165 0.7821 Ho
0.2500 0.7500 0.5000 Ho
0.4344 0.2165 0.6509 Ho
0.4745 0.7500 0.7245 Ho
0.5255 0.2500 0.2755 Ho
0.5656 0.7835 0.3491 Ho
0.7500 0.2500 0.5000 Ho
0.9344 0.2835 0.2179 Ho
0.9745 0.2500 0.7245 Ho
0.1603 0.8943 0.0546 Ru
0.3397 0.3943 0.7340 Ru
0.6603 0.6057 0.2660 Ru
0.8397 0.1057 0.9454 Ru
```

Values from the calculation:
The formation energy comes out at -0.0271 eV/atom. The calculation puts the magnetic moment at 0.0 μB per formula unit. For the calculated volume, the calculation gives 29.2 Å³ per atom.

[4]
A relaxed structure of Rb3Pm3GeS8, computed with PBE.

The structure in POSCAR format:
```
Rb3Pm3GeS8
1.0
4.0605 2.3443 7.8661
-4.0605 2.3443 7.8661
0.0000 -4.6887 7.8661
Rb Pm Ge S
3 3 1 8
Direct
0.0000 0.5000 0.5000 Rb
0.5000 0.0000 0.5000 Rb
0.5000 0.5000 0.0000 Rb
0.0000 0.0000 0.5000 Pm
0.0000 0.5000 0.0000 Pm
0.5000 0.0000 0.0000 Pm
0.5000 0.5000 0.5000 Ge
0.2319 0.2319 0.2319 S
0.2632 0.7084 0.7084 S
0.2916 0.2917 0.7368 S
0.2916 0.7368 0.2916 S
0.7084 0.2632 0.7084 S
0.7084 0.7084 0.2632 S
0.7368 0.2916 0.2916 S
0.7681 0.7681 0.7681 S
```

Values from the calculation:
The formation energy (no corrections) comes out at -1.439 eV/atom. The calculation puts the magnetic moment at 0.0 μB per formula unit. For the calculated volume, the calculation gives 30.0 Å³ per atom.

[5]
A relaxed structure of LaMg2Fe, computed with PBE.

The structure in POSCAR format:
```
LaMg2Fe
1.0
3.1670 0.0000 0.0000
0.0000 3.1670 0.0000
0.0000 0.0000 8.8210
La Mg Fe
1 2 1
Direct
0.0000 0.0000 0.0000 La
0.5000 0.5000 0.3123 Mg
0.5000 0.5000 0.6877 Mg
0.0000 0.0000 0.5000 Fe
```

Values from the calculation:
The formation energy comes out at 0.1979 eV/atom. The calculation puts the magnetic moment at 2.5 μB per formula unit. For the calculated volume, the calculation gives 22.1 Å³ per atom.